## V6TcOs (GGA-PBE)

Data for a relaxed V6TcOs crystal.

Properties
Total DFT energy (no corrections): -9.844 eV/atom
Crystal system: orthorhombic

Cell lengths 4.242, 5.205, 5.205 Å; angles 109.61, 90.00, 90.00 degrees
Element x y z (fractional)
V (0.500, 0.000, 0.500)
V (0.500, 0.500, 0.000)
V (0.000, 0.248, 0.248)
V (0.000, 0.752, 0.752)
V (0.000, 0.749, 0.251)
V (0.000, 0.251, 0.749)
Tc (0.500, 0.000, 0.000)
Os (0.500, 0.500, 0.500)

---

## VTc2Os (GGA-PBE)

Data for a relaxed VTc2Os crystal.

Properties
Excess energy over the best structure of this formula in the dataset: 0.0 meV/atom
Crystal system: tetragonal

Cell lengths 3.867, 3.845, 3.845 Å; angles 90.00, 90.00, 90.00 degrees
Element x y z (fractional)
Os (0.500, 0.000, 0.000)
Tc (0.000, 0.000, 0.500)
Tc (0.000, 0.500, 0.000)
V (0.500, 0.500, 0.500)

---

## VTc2Os2 (GGA-PBE)

Data for a relaxed VTc2Os2 crystal.

Properties
Excess energy over the best structure of this formula in the dataset: 0.0 meV/atom
Crystal system: tetragonal

Cell lengths 7.462, 7.462, 2.751 Å; angles 90.00, 90.00, 90.00 degrees
Element x y z (fractional)
Os (0.375, 0.875, 0.000)
Os (0.875, 0.625, 0.000)
Os (0.625, 0.125, 0.000)
Os (0.125, 0.375, 0.000)
Tc (0.171, 0.671, 0.500)
Tc (0.671, 0.829, 0.500)
Tc (0.829, 0.329, 0.500)
Tc (0.329, 0.171, 0.500)
V (0.000, 0.000, 0.000)
V (0.500, 0.500, 0.000)